No. 1
Below is a relaxed HfZr2Si2Ni4Ge2 crystal, with properties calculated at the PBE level.

## Properties
E above lowest polymorph ... 44 meV per atom

a b c (Å): 7.4712 7.4712 7.4712
angles (deg): 149.50 128.81 60.76
Element x y z (fractional)
Ge1 0.2136 0.2136 0.0000
Ge2 0.7864 0.7864 0.0000
Hf1 0.0000 0.0000 0.0000
Ni1 0.6296 0.3290 0.3005
Ni2 0.9715 0.6710 0.3005
Ni3 0.0285 0.3290 0.6995
Ni4 0.3704 0.6710 0.6995
Si1 0.6955 0.5000 0.1955
Si2 0.3045 0.5000 0.8045
Zr1 0.6244 0.1244 0.5000
Zr2 0.3756 0.8756 0.5000

***

No. 2
Below is a relaxed SrMg2HgPt crystal, with properties calculated at the PBE level.

## Properties
VASP energy ... -2.813 eV/atom

a b c (Å): 7.0173 7.0173 7.0173
angles (deg): 143.62 143.62 52.40
Element x y z (fractional)
Hg1 0.6067 0.6067 0.0000
Mg1 0.7609 0.2609 0.5000
Mg2 0.2609 0.7609 0.5000
Pt1 0.3831 0.3831 0.0000
Sr1 0.9885 0.9885 0.0000

***

No. 3
Below is a relaxed ScAgTe crystal, with properties calculated at the PBE level.

## Properties
E above lowest polymorph ... 279 meV per atom

a b c (Å): 4.7704 4.7704 4.7704
angles (deg): 60.00 60.00 60.00
Element x y z (fractional)
Ag1 0.2500 0.2500 0.2500
Sc1 0.7500 0.7500 0.7500
Te1 0.0000 0.0000 0.0000

***

No. 4
Below is a relaxed DyTeAuO crystal, with properties calculated at the PBE level.

## Properties
E above lowest polymorph ... 3 meV per atom

a b c (Å): 10.2975 5.7035 5.6812
angles (deg): 90.00 90.00 90.00
Element x y z (fractional)
Au1 0.5002 0.2897 0.2498
Au2 0.5002 0.7897 0.2502
Au3 0.5002 0.7103 0.7498
Au4 0.5002 0.2103 0.7502
Dy1 0.1037 0.2500 0.0000
Dy2 0.8957 0.7500 0.0000
Dy3 0.8957 0.2500 0.5000
Dy4 0.1037 0.7500 0.5000
O1 0.9999 0.4987 0.2500
O2 0.9999 0.9987 0.2500
O3 0.9999 0.5013 0.7500
O4 0.9999 0.0013 0.7500
Te1 0.7230 0.2500 0.0000
Te2 0.2775 0.7500 0.0000
Te3 0.2775 0.2500 0.5000
Te4 0.7230 0.7500 0.5000

***

No. 5
Below is a relaxed TaCuGeOs crystal, with properties calculated at the PBE level.

## Properties
E above lowest polymorph ... 154 meV per atom

a b c (Å): 4.3978 4.3978 4.3978
angles (deg): 60.00 60.00 60.00
Element x y z (fractional)
Cu1 0.7500 0.7500 0.7500
Ge1 0.0000 0.0000 0.0000
Os1 0.5000 0.5000 0.5000
Ta1 0.2500 0.2500 0.2500

***

No. 6
Below is a relaxed HoAgSnTeSe2 crystal, with properties calculated at the PBE level.

## Properties
VASP energy ... -4.394 eV/atom

a b c (Å): 7.3074 7.3074 11.0878
angles (deg): 90.00 90.00 147.26
Element x y z (fractional)
Ag1 0.5284 0.4716 0.2500
Ag2 0.4716 0.5284 0.7500
Ho1 0.0000 0.0000 0.0000
Ho2 0.0000 0.0000 0.5000
Se1 0.6379 0.3621 0.0571
Se2 0.6379 0.3621 0.4429
Se3 0.3621 0.6379 0.5571
Se4 0.3621 0.6379 0.9429
Sn1 0.2150 0.7850 0.2500
Sn2 0.7850 0.2150 0.7500
Te1 0.8921 0.1079 0.2500
Te2 0.1079 0.8921 0.7500

***

No. 7
Below is a relaxed NaPdPt2F11 crystal, with properties calculated at the PBE level.

## Properties
VASP energy ... -3.903 eV/atom

a b c (Å): 4.9822 5.3362 7.2016
angles (deg): 75.51 76.93 81.99
Element x y z (fractional)
F1 0.7325 0.3827 0.0403
F2 0.6021 0.8374 0.1502
F3 0.2115 0.2175 0.2552
F4 0.0593 0.7026 0.3428
F5 0.6990 0.1027 0.3650
F6 0.4998 0.5003 0.5003
F7 0.3007 0.8979 0.6348
F8 0.9407 0.2974 0.6573
F9 0.7884 0.7826 0.7446
F10 0.3982 0.1621 0.8500
F11 0.2675 0.6170 0.9594
Na1 0.0001 0.9998 0.0000
Pd1 0.9999 0.0001 0.4999
Pt1 0.4095 0.5288 0.2258
Pt2 0.5906 0.4709 0.7742

***

No. 8
Below is a relaxed HoSi2Tc4 crystal, with properties calculated at the PBE level.

## Properties
VASP energy ... -8.642 eV/atom

a b c (Å): 7.2011 7.2011 4.0670
angles (deg): 90.00 90.00 147.07
Element x y z (fractional)
Ho1 0.0000 0.0000 0.0000
Si1 0.5876 0.4124 0.5000
Si2 0.4124 0.5876 0.5000
Tc1 0.6938 0.3062 0.0000
Tc2 0.3062 0.6938 0.0000
Tc3 0.8126 0.1874 0.5000
Tc4 0.1874 0.8126 0.5000